## Sr3CdHg2Au6 (PBE-GGA)

Data for a geometry-optimized Sr3CdHg2Au6 structure.

volume = 312.0 Å³ per cell
energy of formation from the pure elements = -478.7 meV/atom
total DFT energy (no corrections) = -32.0 eV per cell
symmetry = P-3m1, No. 164
density of states at the Fermi level = 0.348 states/eV per atom
crystal system = trigonal

Lattice parameters (Å, degrees): 6.350 6.350 8.933 90.00 90.00 120.00
Fractional positions:
Au 0.365 0.183 0.718
Au 0.817 0.635 0.718
Au 0.183 0.817 0.282
Au 0.183 0.365 0.282
Au 0.817 0.183 0.718
Au 0.635 0.817 0.282
Hg 0.333 0.667 0.994
Hg 0.667 0.333 0.006
Cd 0.000 0.000 0.500
Sr 0.333 0.667 0.616
Sr 0.000 0.000 0.000
Sr 0.667 0.333 0.384

---

## Sr2CdHgAu6 (PBE-GGA)

Data for a geometry-optimized Sr2CdHgAu6 structure.

volume = 290.5 Å³ per cell
energy of formation from the pure elements = -131.0 meV/atom
total DFT energy (no corrections) = -25.6 eV per cell
symmetry = Fm-3m, No. 225
density of states at the Fermi level = 0.357 states/eV per atom
crystal system = cubic

Lattice parameters (Å, degrees): 7.434 7.434 7.434 60.00 60.00 90.00
Fractional positions:
Au 0.252 0.252 0.000
Au 0.252 0.252 0.497
Au 0.748 0.252 0.000
Au 0.748 0.748 0.000
Au 0.748 0.748 0.503
Au 0.252 0.748 0.000
Hg 0.000 0.000 0.000
Sr 0.250 0.750 0.500
Sr 0.750 0.250 0.500
Cd 0.500 0.500 0.000

---

## Sr2CdHgAu (PBE-GGA)

Data for a geometry-optimized Sr2CdHgAu structure.

volume = 301.1 Å³ per cell
energy of formation from the pure elements = -567.8 meV/atom
total DFT energy (no corrections) = -21.4 eV per cell
symmetry = P2_1/m, No. 11
density of states at the Fermi level = 0.491 states/eV per atom
crystal system = monoclinic

Lattice parameters (Å, degrees): 4.751 8.508 8.034 111.98 90.00 90.00
Fractional positions:
Sr 0.250 0.117 0.359
Sr 0.750 0.883 0.641
Sr 0.250 0.294 0.962
Sr 0.750 0.706 0.038
Cd 0.250 0.552 0.656
Cd 0.750 0.448 0.344
Hg 0.250 0.682 0.331
Hg 0.750 0.318 0.669
Au 0.250 0.898 0.918
Au 0.750 0.102 0.082

---

- Which of these has the highest density of states at the Fermi level?
  Sr2CdHgAu